Entry from Alexandria via LeMat-Bulk: LiMnAs2O6 after structural relaxation (PBE+U).

Its space-group type is No. 15. The volume comes out at 266 Å³ per cell. Its total energy is -6.248 eV per atom. As for the magnetization: 4.9 μB per formula unit.

Cell: 5.9669 6.9467 6.9467 Å, 85.59 73.83 73.83°
Closest atoms and distances in Å follow each position.
Fractional coordinates of all 20 atoms:
Li  0.2500  0.2263  0.7737  4 O 2.02-2.14
Li  0.7500  0.7737  0.2263  4 O 2.02-2.14
Mn  0.2500  0.8978  0.1022  6 O 2.18-2.34
Mn  0.7500  0.1022  0.8978  6 O 2.18-2.34
As  0.2764  0.7870  0.6059  4 O 1.72-1.85
As  0.2236  0.3941  0.2130  4 O 1.72-1.85
As  0.7236  0.2130  0.3941  4 O 1.72-1.85
As  0.7764  0.6059  0.7870  4 O 1.72-1.85
O  0.1515  0.9685  0.7961  1 As 1.75
O  0.3485  0.2039  0.0315  1 As 1.75
O  0.8485  0.0315  0.2039  1 As 1.75
O  0.6515  0.7961  0.9685  1 As 1.75
O  0.3726  0.8855  0.3717  1 As 1.72
O  0.1274  0.6283  0.1145  1 As 1.72
O  0.6274  0.1145  0.6283  1 As 1.72
O  0.8726  0.3717  0.8855  1 As 1.72
O  0.0365  0.6642  0.6096  2 As 1.82-1.85
O  0.4635  0.3904  0.3358  2 As 1.82-1.85
O  0.9635  0.3358  0.3904  2 As 1.82-1.85
O  0.5365  0.6096  0.6642  2 As 1.82-1.85